Record 1
This record from Alexandria describes KZnCo2 after structural relaxation. The functional is PBE-GGA.

a b c (Å): 5.8643 5.8643 5.8643
angles (deg): 154.14 127.21 59.69
Positions (direct):
K (0.0000, 0.0000, 0.0000)
Zn (0.5000, 0.5000, 0.0000)
Co (0.2879, 0.7879, 0.5000)
Co (0.7121, 0.2121, 0.5000)

Calculated values
**Energy**: -13.31 eV/cell
**Size of the total moment**: 3.02 Bohr magnetons per cell

Record 2
This record from Alexandria describes AcMgTe after structural relaxation. The functional is PBE-GGA.

a b c (Å): 6.1642 4.5172 7.9675
angles (deg): 90.00 112.70 90.00
Positions (direct):
Ac (0.1189, 0.2500, 0.2373)
Ac (0.8811, 0.7500, 0.7627)
Mg (0.4298, 0.2500, 0.8619)
Mg (0.5702, 0.7500, 0.1381)
Te (0.2935, 0.7500, 0.5872)
Te (0.7065, 0.2500, 0.4128)

Calculated values
**ΔE_f (raw)**: -0.75 eV/atom
**Size of the total moment**: 0.00 Bohr magnetons per cell
**ΔE to the lowest computed polymorph**: 0.0000 eV per atom

Record 3
This record from Alexandria describes Nd6As5I after structural relaxation. The functional is PBE-GGA.

a b c (Å): 7.4825 7.4825 7.4607
angles (deg): 99.67 99.67 119.86
Positions (direct):
Nd (0.0557, 0.4122, 0.7381)
Nd (0.2315, 0.2315, 0.2613)
Nd (0.4122, 0.0557, 0.7381)
Nd (0.5878, 0.9443, 0.2619)
Nd (0.7685, 0.7685, 0.7387)
Nd (0.9443, 0.5878, 0.2619)
As (0.0000, 0.0000, 0.5000)
As (0.1676, 0.8324, 0.0000)
As (0.3402, 0.6598, 0.5000)
As (0.6598, 0.3402, 0.5000)
As (0.8324, 0.1676, 0.0000)
I (0.5000, 0.5000, 0.0000)

Calculated values
**ΔE_f (raw)**: -1.46 eV/atom
**Size of the total moment**: 0.00 Bohr magnetons per cell

Record 4
This record from Alexandria describes VCo2RhN after structural relaxation. The functional is PBE-GGA.

a b c (Å): 3.7630 3.7630 3.9229
angles (deg): 90.00 90.00 90.00
Positions (direct):
V (0.0000, 0.0000, 0.0000)
Co (0.0000, 0.5000, 0.5000)
Co (0.5000, 0.0000, 0.5000)
Rh (0.5000, 0.5000, 0.0000)
N (0.0000, 0.0000, 0.5000)

Calculated values
**ΔE_f (raw)**: -0.24 eV/atom
**Size of the total moment**: 2.37 Bohr magnetons per cell

Record 5
This record from Alexandria describes NdDySeS after structural relaxation. The functional is PBE-GGA.

a b c (Å): 7.4445 7.4445 7.4445
angles (deg): 30.86 30.86 30.86
Positions (direct):
Nd (0.0000, 0.0000, 0.0000)
Dy (0.1842, 0.1842, 0.1842)
Se (0.4283, 0.4283, 0.4283)
S (0.5894, 0.5894, 0.5894)

Calculated values
**ΔE_f (raw)**: -1.89 eV/atom
**Size of the total moment**: 0.00 Bohr magnetons per cell

Record 6
This record from Alexandria describes Ni7Mo6 after structural relaxation. The functional is PBE-GGA.

a b c (Å): 9.0274 9.0274 9.0274
angles (deg): 30.56 30.56 30.56
Positions (direct):
Ni (0.0000, 0.0000, 0.0000)
Ni (0.0908, 0.0908, 0.5884)
Ni (0.0908, 0.5884, 0.0908)
Ni (0.4116, 0.9092, 0.9092)
Ni (0.5884, 0.0908, 0.0908)
Ni (0.9092, 0.4116, 0.9092)
Ni (0.9092, 0.9092, 0.4116)
Mo (0.1691, 0.1691, 0.1691)
Mo (0.3472, 0.3472, 0.3472)
Mo (0.4527, 0.4527, 0.4527)
Mo (0.5473, 0.5473, 0.5473)
Mo (0.6528, 0.6528, 0.6528)
Mo (0.8309, 0.8309, 0.8309)

Calculated values
**Energy**: -105.94 eV/cell
**Size of the total moment**: 0.00 Bohr magnetons per cell